NbV2MoN (PBE-GGA, optimized geometry); formation energy without anion corrections = -38 kJ/mol of atoms; symmetry = P4/mmm, No. 123; calculated volume = 67 Å³ per cell; calculated total energy = -9.886 eV per atom; energy above the lowest structure with this stoichiometry = 0 meV per atom
1.0
3.9188 0.0000 0.0000
0.0000 3.9188 0.0000
0.0000 0.0000 4.3941
N V Nb Mo
1 2 1 1
direct
0.0000 0.0000 0.0000
0.0000 0.5000 0.0000
0.5000 0.0000 0.0000
0.0000 0.0000 0.5000
0.5000 0.5000 0.5000


Sr2TeBr (PBE-GGA, optimized geometry); formation energy without anion corrections = -130 kJ/mol of atoms; symmetry = I-42d, No. 122; calculated volume = 389 Å³ per cell; calculated total energy = -3.393 eV per atom; energy above the lowest structure with this stoichiometry = 213 meV per atom
1.0
7.2304 0.0000 0.0000
0.0000 7.2304 0.0000
3.6152 3.6152 7.4373
Sr Te Br
4 2 2
direct
0.6202 0.1250 0.2500
0.8750 0.8702 0.7500
0.3750 0.3798 0.7500
0.1298 0.6250 0.2500
0.7500 0.2500 0.5000
0.0000 0.0000 0.0000
0.2500 0.7500 0.5000
0.5000 0.5000 0.0000


Ti3ZnIn (PBE-GGA, optimized geometry); energy relative to the elements = 0.13 eV/atom; symmetry = P6_3/mmc, No. 194; calculated volume = 186 Å³ per cell; calculated total energy = -5.405 eV per atom; energy above the lowest structure with this stoichiometry = 242 meV per atom
1.0
-0.5161 0.4780 5.0894
6.2384 -1.4753 0.7712
-1.7911 6.1566 -0.7599
Zn In Ti
2 2 6
direct
0.5000 0.0000 0.0000
0.0000 0.0000 0.0000
0.2500 0.3333 0.6667
0.7500 0.6667 0.3333
0.2500 0.8054 0.6110
0.7500 0.1945 0.8055
0.7500 0.6110 0.8054
0.2500 0.8055 0.1945
0.7500 0.1946 0.3890
0.2500 0.3890 0.1946


Mg4GaPb5 (PBE-GGA, optimized geometry); energy relative to the elements = -0.04 eV/atom; symmetry = P4/mmm, No. 123; calculated volume = 263 Å³ per cell; calculated total energy = -2.832 eV per atom
1.0
3.4921 0.0000 0.0000
0.0000 3.4921 0.0000
0.0000 0.0000 21.5601
Mg Pb Ga
4 5 1
direct
0.0000 0.0000 0.2005
0.0000 0.0000 0.6000
0.0000 0.0000 0.7995
0.0000 0.0000 0.4000
0.5000 0.5000 0.3001
0.5000 0.5000 0.6999
0.5000 0.5000 0.1009
0.5000 0.5000 0.5000
0.5000 0.5000 0.8991
0.0000 0.0000 0.0000


Ba4LiAl (PBE-GGA, optimized geometry); energy relative to the elements = 0.50 eV/atom; symmetry = F-43m, No. 216; calculated volume = 288 Å³ per cell; calculated total energy = -1.724 eV per atom
1.0
0.1349 -4.1645 6.1291
-5.8056 -4.2818 1.6992
0.5481 -7.3712 -0.5397
Li Al Ba
1 1 4
direct
0.7500 0.7500 0.7500
0.0000 0.0000 0.0000
0.3738 0.3738 0.3738
0.8786 0.3738 0.3738
0.3738 0.8786 0.3738
0.3738 0.3738 0.8786


Ca4Pr2Bi3O2 (PBE-GGA, optimized geometry); formation energy without anion corrections = -156 kJ/mol of atoms; symmetry = I4/mmm, No. 139; calculated volume = 297 Å³ per cell; calculated total energy = -5.177 eV per atom
1.0
-0.0495 -2.2380 4.2042
3.6096 -2.7606 -1.4270
6.7519 11.2072 3.3473
Bi Ca O Pr
3 4 2 2
direct
0.1781 0.1781 0.3562
0.8219 0.8219 0.6438
0.0000 0.0000 0.0000
0.0829 0.5829 0.1658
0.5829 0.0829 0.1658
0.9171 0.4171 0.8342
0.4171 0.9171 0.8342
0.6008 0.6008 0.2016
0.3992 0.3992 0.7984
0.3076 0.3076 0.6152
0.6924 0.6924 0.3848


Li2Sm2Sn7 (PBE-GGA, optimized geometry); energy relative to the elements = -0.23 eV/atom; symmetry = C2/m, No. 12; calculated volume = 304 Å³ per cell; calculated total energy = -3.987 eV per atom
1.0
6.3345 -0.2031 -1.0108
-0.2249 7.9718 0.2182
-1.4033 0.1986 6.2594
Sm Sn Li
2 7 2
direct
0.6875 0.0037 0.3125
0.3125 0.9963 0.6875
0.4930 0.6887 0.5070
0.9970 0.6829 0.4363
0.0030 0.3171 0.5637
0.0000 0.0000 0.0000
0.5637 0.6829 0.0030
0.5070 0.3113 0.4930
0.4363 0.3171 0.9970
0.8242 0.5000 0.8242
0.1758 0.5000 0.1758


Er7Al2Tl2 (PBE-GGA, optimized geometry); energy relative to the elements = 0.02 eV/atom; symmetry = Cmmm, No. 65; calculated volume = 323 Å³ per cell; calculated total energy = -3.994 eV per atom
1.0
6.5822 -0.0029 -0.9435
0.0050 7.7799 0.0020
-1.3518 -0.0019 6.5106
Er Tl Al
7 2 2
direct
0.0000 0.2947 0.4998
0.4998 0.7053 0.0000
0.5002 0.2947 0.0000
0.5000 0.7191 0.5000
0.0000 0.0000 0.0000
0.5000 0.2809 0.5000
0.0000 0.7053 0.5002
0.2978 0.0001 0.7022
0.7022 0.9999 0.2978
0.8301 0.5000 0.8301
0.1699 0.5000 0.1699


Tc2AgSn (PBE-GGA, optimized geometry); energy relative to the elements = 0.88 eV/atom; symmetry = I-42d, No. 122; calculated volume = 150 Å³ per cell; calculated total energy = -6.018 eV per atom
1.0
7.5178 0.0000 0.0000
0.0000 7.5178 0.0000
3.7589 3.7589 2.6485
Ag Tc Sn
2 4 2
direct
0.2500 0.7500 0.5000
0.5000 0.5000 0.0000
0.8750 0.8842 0.7500
0.1158 0.6250 0.2500
0.6342 0.1250 0.2500
0.3750 0.3658 0.7500
0.0000 0.0000 0.0000
0.7500 0.2500 0.5000


La8TlPt2 (PBE-GGA, optimized geometry); energy relative to the elements = -0.46 eV/atom; symmetry = C2/m, No. 12; calculated volume = 359 Å³ per cell; calculated total energy = -5.361 eV per atom
1.0
-1.7661 5.1016 2.2243
-7.5514 -3.6601 -0.8360
4.6868 -2.6227 6.5020
Tl Pt La
1 2 8
direct
0.5000 0.0000 0.0000
0.0000 0.7092 0.2908
0.0000 0.2908 0.7092
0.6960 0.4032 0.4032
0.3040 0.5968 0.5968
0.9431 0.6717 0.9122
0.9431 0.9122 0.6717
0.0569 0.3283 0.0878
0.5000 0.7527 0.2473
0.5000 0.2473 0.7527
0.0569 0.0878 0.3283


TlZnS2N (PBE-GGA, optimized geometry); formation energy without anion corrections = 126 kJ/mol of atoms; symmetry = P4/mmm, No. 123; calculated volume = 119 Å³ per cell; calculated total energy = -2.740 eV per atom; energy above the lowest structure with this stoichiometry = 569 meV per atom
1.0
-4.8006 -0.8829 -1.9175
2.0411 -0.7257 -4.7759
0.4430 -4.2095 0.8290
N Zn S Tl
1 1 2 1
direct
0.0000 0.0000 0.5000
0.5000 0.5000 0.5000
0.5000 0.0000 0.0000
0.0000 0.5000 0.0000
0.0000 0.0000 0.0000


ScZn6Au5 (PBE-GGA, optimized geometry); energy relative to the elements = -0.28 eV/atom; symmetry = Immm, No. 71; calculated volume = 200 Å³ per cell; calculated total energy = -2.810 eV per atom
1.0
-0.1548 -4.2213 1.1742
7.2230 -0.0582 0.7426
-4.1406 3.8399 5.0737
Zn Au Sc
6 5 1
direct
0.5000 0.2812 0.0000
0.1702 0.8930 0.3404
0.8298 0.5526 0.6596
0.5000 0.7188 0.0000
0.1702 0.4474 0.3404
0.8298 0.1070 0.6596
0.3103 0.3103 0.6207
0.3527 0.8527 0.7054
0.0000 0.5000 0.0000
0.6473 0.1473 0.2946
0.6897 0.6897 0.3793
0.0000 0.0000 0.0000


- Look up the calculated total energy of the eighth one.
  -3.994 eV per atom


- The highest calculated total energy belongs to which entry?
  Ba4LiAl


Copy entry 3 word for word.
Ti3ZnIn (PBE-GGA, optimized geometry); energy relative to the elements = 0.13 eV/atom; symmetry = P6_3/mmc, No. 194; calculated volume = 186 Å³ per cell; calculated total energy = -5.405 eV per atom; energy above the lowest structure with this stoichiometry = 242 meV per atom
1.0
-0.5161 0.4780 5.0894
6.2384 -1.4753 0.7712
-1.7911 6.1566 -0.7599
Zn In Ti
2 2 6
direct
0.5000 0.0000 0.0000
0.0000 0.0000 0.0000
0.2500 0.3333 0.6667
0.7500 0.6667 0.3333
0.2500 0.8054 0.6110
0.7500 0.1945 0.8055
0.7500 0.6110 0.8054
0.2500 0.8055 0.1945
0.7500 0.1946 0.3890
0.2500 0.3890 0.1946


- calculated total energy of number 2 (Sr2TeBr)?
  -3.393 eV per atom